*1*
! Ca2SiPb, PBEsol geometry, DFT meta-GGA SCAN; values from VASP
! **Mass density**: 5.25 g/cm3
&SYSTEM
  ibrav = 0, nat = 4, ntyp = 3
/
ATOMIC_SPECIES
Ca 40.08 Ca.upf
Si 28.09 Si.upf
Pb 207.20 Pb.upf
ATOMIC_POSITIONS angstrom
Ca 0.0000 0.0000 1.9247
Ca 0.0000 0.0000 6.8806
Si 1.6831 1.6831 0.0000
Pb 1.6831 1.6831 4.4026
CELL_PARAMETERS angstrom
3.3661 0.0000 0.0000
0.0000 3.3661 0.0000
0.0000 0.0000 8.8053


*2*
! Ca2SiPb, PBEsol geometry, DFT meta-GGA SCAN; values from VASP
! **Mass density**: 4.75 g/cm3
&SYSTEM
  ibrav = 0, nat = 4, ntyp = 3
/
ATOMIC_SPECIES
Ca 40.08 Ca.upf
Si 28.09 Si.upf
Pb 207.20 Pb.upf
ATOMIC_POSITIONS angstrom
Ca 0.0000 0.0000 0.0000
Ca 2.0598 2.0598 2.1027
Si 2.0598 2.0598 5.1213
Pb 0.0000 0.0000 3.5581
CELL_PARAMETERS angstrom
4.1197 0.0000 0.0000
0.0000 4.1197 0.0000
0.0000 0.0000 6.4940


*3*
! Ca2SiPb, PBEsol geometry, DFT meta-GGA SCAN; values from VASP
! **Mass density**: 5.05 g/cm3
&SYSTEM
  ibrav = 0, nat = 4, ntyp = 3
/
ATOMIC_SPECIES
Ca 40.08 Ca.upf
Si 28.09 Si.upf
Pb 207.20 Pb.upf
ATOMIC_POSITIONS angstrom
Ca 0.0000 0.0000 0.0000
Ca 1.3795 0.0000 3.1105
Si 4.7327 0.0000 2.4527
Pb 8.9153 0.0000 0.9077
CELL_PARAMETERS angstrom
5.9869 -1.7725 0.0000
5.9869 1.7725 0.0000
-1.8425 0.0000 4.8855


*4*
! Ca2SiPb, PBEsol geometry, DFT meta-GGA SCAN; values from VASP
! **Mass density**: 5.28 g/cm3
&SYSTEM
  ibrav = 0, nat = 4, ntyp = 3
/
ATOMIC_SPECIES
Ca 40.08 Ca.upf
Si 28.09 Si.upf
Pb 207.20 Pb.upf
ATOMIC_POSITIONS angstrom
Ca 2.3704 0.0000 2.2067
Ca 0.0000 2.3704 2.2067
Si 0.0000 0.0000 0.0000
Pb 0.0000 0.0000 4.4133
CELL_PARAMETERS angstrom
-2.3704 2.3704 4.4133
2.3704 -2.3704 4.4133
2.3704 2.3704 -4.4133


Most stable: *1*


*1*
! CaTlPb, PBEsol geometry, DFT meta-GGA SCAN; values from VASP
! **Mass density**: 7.88 g/cm3
&SYSTEM
  ibrav = 0, nat = 3, ntyp = 3
/
ATOMIC_SPECIES
Ca 40.08 Ca.upf
Tl 204.38 Tl.upf
Pb 207.20 Pb.upf
ATOMIC_POSITIONS angstrom
Ca 0.0000 0.0000 0.0000
Tl 5.4354 5.4354 5.4354
Pb 1.8118 1.8118 1.8118
CELL_PARAMETERS angstrom
0.0000 3.6236 3.6236
3.6236 0.0000 3.6236
3.6236 3.6236 0.0000


*2*
! CaTlPb, PBEsol geometry, DFT meta-GGA SCAN; values from VASP
! **Mass density**: 8.66 g/cm3
&SYSTEM
  ibrav = 0, nat = 3, ntyp = 3
/
ATOMIC_SPECIES
Ca 40.08 Ca.upf
Tl 204.38 Tl.upf
Pb 207.20 Pb.upf
ATOMIC_POSITIONS angstrom
Ca 0.0000 0.0000 0.0000
Tl 0.0000 0.0000 3.4114
Pb 0.0000 0.0000 7.0413
CELL_PARAMETERS angstrom
-1.8842 2.2075 5.2052
1.8842 -2.2075 5.2052
1.8842 2.2075 -5.2052


Most stable: *2*


*1*
! CaTlPb, PBEsol geometry, DFT meta-GGA SCAN; values from VASP
! **Mass density**: 8.66 g/cm3
&SYSTEM
  ibrav = 0, nat = 3, ntyp = 3
/
ATOMIC_SPECIES
Ca 40.08 Ca.upf
Tl 204.38 Tl.upf
Pb 207.20 Pb.upf
ATOMIC_POSITIONS angstrom
Ca 0.0000 0.0000 0.0000
Tl 0.0104 0.0000 3.5029
Pb 2.8437 0.0000 1.9362
CELL_PARAMETERS angstrom
2.8422 -2.8406 0.0000
2.8422 2.8406 0.0000
-2.8291 0.0000 5.3662


*2*
! CaTlPb, PBEsol geometry, DFT meta-GGA SCAN; values from VASP
! **Mass density**: 8.75 g/cm3
&SYSTEM
  ibrav = 0, nat = 3, ntyp = 3
/
ATOMIC_SPECIES
Ca 40.08 Ca.upf
Tl 204.38 Tl.upf
Pb 207.20 Pb.upf
ATOMIC_POSITIONS angstrom
Ca 0.0000 0.0000 0.0000
Tl 0.0000 2.9693 2.5058
Pb 2.5715 1.4846 1.4496
CELL_PARAMETERS angstrom
5.1429 0.0000 0.0000
-2.5714 4.4539 0.0000
0.0000 0.0000 3.7409


Most stable: *2*


*1*
! CaPb2W, PBEsol geometry, DFT meta-GGA SCAN; values from VASP
! **Mass density**: 11.45 g/cm3
&SYSTEM
  ibrav = 0, nat = 4, ntyp = 3
/
ATOMIC_SPECIES
Ca 40.08 Ca.upf
Pb 207.20 Pb.upf
W 183.84 W.upf
ATOMIC_POSITIONS angstrom
Ca 0.0000 0.0000 0.0000
Pb 2.2600 0.0000 4.0650
Pb 5.0377 0.0000 2.5002
W 8.2008 0.0000 1.4331
CELL_PARAMETERS angstrom
5.6817 -1.5688 0.0000
5.6817 1.5688 0.0000
-0.6500 0.0000 5.1923


*2*
! CaPb2W, PBEsol geometry, DFT meta-GGA SCAN; values from VASP
! **Mass density**: 11.74 g/cm3
&SYSTEM
  ibrav = 0, nat = 4, ntyp = 3
/
ATOMIC_SPECIES
Ca 40.08 Ca.upf
Pb 207.20 Pb.upf
W 183.84 W.upf
ATOMIC_POSITIONS angstrom
Ca 0.0000 0.0000 0.0000
Pb 0.0000 2.3951 1.9678
Pb 2.3951 0.0000 1.9678
W 2.3951 2.3951 0.0000
CELL_PARAMETERS angstrom
4.7902 0.0000 0.0000
0.0000 4.7902 0.0000
0.0000 0.0000 3.9356


Most stable: *1*


*1*
! CaPdSe2, PBEsol geometry, DFT meta-GGA SCAN; values from VASP
! **Mass density**: 4.92 g/cm3
&SYSTEM
  ibrav = 0, nat = 4, ntyp = 3
/
ATOMIC_SPECIES
Ca 40.08 Ca.upf
Pd 106.42 Pd.upf
Se 78.96 Se.upf
ATOMIC_POSITIONS angstrom
Ca 0.0000 0.0000 0.0000
Pd 0.0000 0.0000 12.2356
Se 0.0000 0.0000 2.8060
Se 0.0000 0.0000 21.6653
CELL_PARAMETERS angstrom
1.9062 1.1005 8.1571
-1.9062 1.1005 8.1571
0.0000 -2.2011 8.1571


*2*
! CaPdSe2, PBEsol geometry, DFT meta-GGA SCAN; values from VASP
! **Mass density**: 6.54 g/cm3
&SYSTEM
  ibrav = 0, nat = 4, ntyp = 3
/
ATOMIC_SPECIES
Ca 40.08 Ca.upf
Pd 106.42 Pd.upf
Se 78.96 Se.upf
ATOMIC_POSITIONS angstrom
Ca 0.0000 0.0000 0.0000
Pd 3.3804 3.3804 3.3804
Se 1.6902 1.6902 1.6902
Se 5.0706 5.0706 5.0706
CELL_PARAMETERS angstrom
0.0000 3.3804 3.3804
3.3804 0.0000 3.3804
3.3804 3.3804 0.0000


Most stable: *2*


*1*
! SrCa2Pd2, PBEsol geometry, DFT meta-GGA SCAN; values from VASP
! **Mass density**: 4.93 g/cm3
&SYSTEM
  ibrav = 0, nat = 10, ntyp = 3
/
ATOMIC_SPECIES
Sr 87.62 Sr.upf
Ca 40.08 Ca.upf
Pd 106.42 Pd.upf
ATOMIC_POSITIONS angstrom
Sr 0.0000 0.0000 0.0000
Sr 3.9424 3.9424 0.0000
Ca 1.2359 2.7066 2.0627
Ca 2.7066 6.6490 2.0627
Ca 5.1783 1.2359 2.0627
Ca 6.6490 5.1783 2.0627
Pd 0.9873 4.9297 0.0000
Pd 2.9552 0.9873 0.0000
Pd 4.9297 6.8976 0.0000
Pd 6.8976 2.9552 0.0000
CELL_PARAMETERS angstrom
7.8849 0.0000 0.0000
0.0000 7.8849 0.0000
0.0000 0.0000 4.1254


*2*
! SrCa2Pd2, PBEsol geometry, DFT meta-GGA SCAN; values from VASP
! **Mass density**: 4.73 g/cm3
&SYSTEM
  ibrav = 0, nat = 5, ntyp = 3
/
ATOMIC_SPECIES
Sr 87.62 Sr.upf
Ca 40.08 Ca.upf
Pd 106.42 Pd.upf
ATOMIC_POSITIONS angstrom
Sr 0.0000 0.0000 0.0000
Ca 2.3162 0.0000 3.1118
Ca 0.0000 2.3162 3.1118
Pd 0.0000 0.0000 4.9191
Pd 0.0000 0.0000 7.5281
CELL_PARAMETERS angstrom
-2.3162 2.3162 6.2236
2.3162 -2.3162 6.2236
2.3162 2.3162 -6.2236


Most stable: *1*


*1*
! Sr3CaPd, PBEsol geometry, DFT meta-GGA SCAN; values from VASP
! **Mass density**: 3.25 g/cm3
&SYSTEM
  ibrav = 0, nat = 5, ntyp = 3
/
ATOMIC_SPECIES
Sr 87.62 Sr.upf
Ca 40.08 Ca.upf
Pd 106.42 Pd.upf
ATOMIC_POSITIONS angstrom
Sr 0.0000 0.0000 2.9679
Sr 0.0000 2.9679 0.0000
Sr 2.9679 0.0000 0.0000
Ca 2.9679 2.9679 2.9679
Pd 0.0000 0.0000 0.0000
CELL_PARAMETERS angstrom
5.9358 0.0000 0.0000
0.0000 5.9358 0.0000
0.0000 0.0000 5.9358


*2*
! Sr3CaPd, PBEsol geometry, DFT meta-GGA SCAN; values from VASP
! **Mass density**: 2.82 g/cm3
&SYSTEM
  ibrav = 0, nat = 5, ntyp = 3
/
ATOMIC_SPECIES
Sr 87.62 Sr.upf
Ca 40.08 Ca.upf
Pd 106.42 Pd.upf
ATOMIC_POSITIONS angstrom
Sr 0.0000 0.0000 3.1108
Sr 0.0000 3.1108 0.0000
Sr 3.1108 0.0000 0.0000
Ca 0.0000 0.0000 0.0000
Pd 3.1108 3.1108 3.1108
CELL_PARAMETERS angstrom
6.2217 0.0000 0.0000
0.0000 6.2217 0.0000
0.0000 0.0000 6.2217


Most stable: *1*


*1*
! CaTl2Pd2, PBEsol geometry, DFT meta-GGA SCAN; values from VASP
! **Mass density**: 9.94 g/cm3
&SYSTEM
  ibrav = 0, nat = 5, ntyp = 3
/
ATOMIC_SPECIES
Ca 40.08 Ca.upf
Tl 204.38 Tl.upf
Pd 106.42 Pd.upf
ATOMIC_POSITIONS angstrom
Ca 0.0000 0.0000 0.0000
Tl 0.0000 0.0000 4.9587
Tl 0.0000 0.0000 7.9496
Pd 2.0689 0.0000 3.2271
Pd 0.0000 2.0689 3.2271
CELL_PARAMETERS angstrom
-2.0689 2.0689 6.4542
2.0689 -2.0689 6.4542
2.0689 2.0689 -6.4542


*2*
! CaTl2Pd2, PBEsol geometry, DFT meta-GGA SCAN; values from VASP
! **Mass density**: 10.69 g/cm3
&SYSTEM
  ibrav = 0, nat = 10, ntyp = 3
/
ATOMIC_SPECIES
Ca 40.08 Ca.upf
Tl 204.38 Tl.upf
Pd 106.42 Pd.upf
ATOMIC_POSITIONS angstrom
Ca 0.0000 0.0000 0.0000
Ca 3.7967 3.7967 0.0000
Tl 1.2237 2.5729 1.7824
Tl 2.5729 6.3696 1.7824
Tl 5.0204 1.2237 1.7824
Tl 6.3696 5.0204 1.7824
Pd 1.0188 4.8154 0.0000
Pd 2.7779 1.0188 0.0000
Pd 4.8154 6.5746 0.0000
Pd 6.5746 2.7779 0.0000
CELL_PARAMETERS angstrom
7.5934 0.0000 0.0000
0.0000 7.5934 0.0000
0.0000 0.0000 3.5648


Most stable: *2*